CdAg2P2: relaxed, PBE.

```
CdAg2P2
1.0
6.581 0.000 0.000
0.000 6.581 0.000
0.000 0.000 4.910
Cd Ag P
2 4 4
Cartesian
0.000 0.000 0.000
3.290 3.290 0.000
1.076 2.214 2.455
2.214 5.504 2.455
4.367 1.076 2.455
5.504 4.367 2.455
0.772 2.519 0.000
2.519 5.809 0.000
4.062 0.772 0.000
5.809 4.062 0.000
```

The calculation puts the density of states at the Fermi level at 1.886 states/eV per cell. The symmetry is No. 127. The formation energy from the elements is 143 meV/atom. As for the energy: -3.34 eV/atom.